Density functional theory data (GGA-PBE) for CdI2 after structural relaxation.

Results
The value obtained for the density of states at the Fermi level is 0.000 states/eV per atom. As for the electronic total energy: -17.176 eV per cell.

a b c (Å): 4.3150 4.3150 22.5873
angles (deg): 90.00 90.00 120.00
Closest atoms and distances in Å follow each position.
Positions (direct):
Cd 0.0000 0.0000 0.0000  6 I 3.03
Cd 0.0000 0.0000 0.3331  6 I 3.03
Cd 0.6667 0.3333 0.6666  6 I 3.03
I 0.0000 0.0000 0.5900  3 Cd 3.03
I 0.3333 0.6667 0.0766  3 Cd 3.03
I 0.3333 0.6667 0.4097  3 Cd 3.03
I 0.3333 0.6667 0.7432  3 Cd 3.03
I 0.6667 0.3333 0.2565  3 Cd 3.03
I 0.6667 0.3333 0.9234  3 Cd 3.03


Density functional theory data (GGA-PBE) for Cd2I after structural relaxation.

Results
The value obtained for the density of states at the Fermi level is 1.062 states/eV per atom. The value obtained for the energy above the most stable polymorph in this dataset is 0.0681 eV/atom. As for the electronic total energy: -6.516 eV per cell.

a b c (Å): 6.2848 6.2848 6.2848
angles (deg): 60.00 60.00 60.00
Closest atoms and distances in Å follow each position.
Positions (direct):
Cd 0.0000 0.0000 0.0000  6 Cd 3.14
Cd 0.0000 0.0000 0.5000  6 Cd 3.14
Cd 0.0000 0.5000 0.0000  6 Cd 3.14
Cd 0.5000 0.0000 0.0000  6 Cd 3.14
I 0.3750 0.3750 0.3750  12 Cd 3.68, 4 I 3.85
I 0.6250 0.6250 0.6250  12 Cd 3.68, 4 I 3.85


Density functional theory data (GGA-PBE) for CdI after structural relaxation.

Results
The value obtained for the density of states at the Fermi level is 0.251 states/eV per atom. As for the electronic total energy: -18.407 eV per cell.

a b c (Å): 4.2881 11.3008 10.6515
angles (deg): 90.00 90.00 90.00
Closest atoms and distances in Å follow each position.
Positions (direct):
Cd 0.2500 0.1278 0.1065  1 Cd 2.76, 3 I 3.04-3.06
Cd 0.2500 0.3722 0.1065  1 Cd 2.76, 3 I 3.04-3.06
Cd 0.2500 0.7500 0.7175  2 I 2.94, 4 Cd 3.17
Cd 0.7500 0.2500 0.2825  2 I 2.94, 4 Cd 3.17
Cd 0.7500 0.6278 0.8935  1 Cd 2.76, 3 I 3.04-3.06
Cd 0.7500 0.8722 0.8935  1 Cd 2.76, 3 I 3.04-3.06
I 0.2500 0.0560 0.8318  3 Cd 3.04-3.06
I 0.2500 0.2500 0.4717  2 Cd 2.94
I 0.2500 0.4440 0.8318  3 Cd 3.04-3.06
I 0.7500 0.5560 0.1682  3 Cd 3.04-3.06
I 0.7500 0.7500 0.5283  2 Cd 2.94
I 0.7500 0.9440 0.1682  3 Cd 3.04-3.06


Density functional theory data (GGA-PBE) for CdI2 after structural relaxation.

Results
The value obtained for the density of states at the Fermi level is 0.000 states/eV per atom. As for the electronic total energy: -28.626 eV per cell.

a b c (Å): 4.3162 4.3162 37.5270
angles (deg): 90.00 90.00 120.00
Closest atoms and distances in Å follow each position.
Positions (direct):
Cd 0.0000 0.0000 0.0000  6 I 3.03
Cd 0.0000 0.0000 0.4000  6 I 3.03
Cd 0.0000 0.0000 0.6000  6 I 3.03
Cd 0.3333 0.6667 0.2000  6 I 3.03
Cd 0.6667 0.3333 0.8000  6 I 3.03
I 0.0000 0.0000 0.2461  3 Cd 3.03
I 0.0000 0.0000 0.7539  3 Cd 3.03
I 0.3333 0.6667 0.0461  3 Cd 3.03
I 0.3333 0.6667 0.4461  3 Cd 3.03
I 0.3333 0.6667 0.6460  3 Cd 3.03
I 0.3333 0.6667 0.8461  3 Cd 3.03
I 0.6667 0.3333 0.1539  3 Cd 3.03
I 0.6667 0.3333 0.3540  3 Cd 3.03
I 0.6667 0.3333 0.5539  3 Cd 3.03
I 0.6667 0.3333 0.9539  3 Cd 3.03


Number 1: formation energy from raw total energies -0.570 eV per atom. Number 2: formation energy from raw total energies 0.041 eV per atom. Number 3: formation energy from raw total energies -0.301 eV per atom. Number 4: formation energy from raw total energies -0.570 eV per atom.